No. 1
Density functional theory data (PBE-GGA) for crystalline OsPbCl2 at its relaxed geometry.

Properties
Magnetic moment, μB per formula unit: 0.00
Uncorrected formation energy, eV/atom: 0.126
D(E_F), states/eV/cell: 6.14
Total energy, eV per atom: -4.53

```
data_OsPbCl2
_chemical_formula_sum 'Os2 Pb2 Cl4'
_cell_length_a 3.2046
_cell_length_b 4.8091
_cell_length_c 13.8401
_cell_angle_alpha 90.00
_cell_angle_beta 90.00
_cell_angle_gamma 90.00
_symmetry_space_group_name_H-M 'A m m 2'
_symmetry_Int_Tables_number 38
loop_
_symmetry_equiv_pos_as_xyz
'x,y,z'
'-x,-y,z'
'-x,y,z'
'x,-y,z'
'x,y+1/2,z+1/2'
'-x,-y+1/2,z+1/2'
'-x,y+1/2,z+1/2'
'x,-y+1/2,z+1/2'
loop_
_atom_site_label
_atom_site_fract_x
_atom_site_fract_y
_atom_site_fract_z
Os1 0.0000 0.0000 0.0000
Pb1 0.5000 0.0000 0.4299
Cl1 0.0000 0.0000 0.8283
Cl2 0.5000 0.0000 0.1219
```


No. 2
Density functional theory data (PBE-GGA) for crystalline Ho6CdAu at its relaxed geometry.

Properties
Magnetic moment, μB per formula unit: 0.00
Energy of formation, kJ/mol of atoms: -18
D(E_F), states/eV/cell: 8.34
Total energy, eV per atom: -4.14

```
data_Ho6CdAu
_chemical_formula_sum 'Ho6 Cd1 Au1'
_cell_length_a 6.0491
_cell_length_b 6.0497
_cell_length_c 6.0504
_cell_angle_alpha 93.66
_cell_angle_beta 93.82
_cell_angle_gamma 93.73
_symmetry_space_group_name_H-M 'P -1'
_symmetry_Int_Tables_number 2
loop_
_symmetry_equiv_pos_as_xyz
'x,y,z'
'-x,-y,-z'
loop_
_atom_site_label
_atom_site_fract_x
_atom_site_fract_y
_atom_site_fract_z
Ho1 0.0246 0.2555 0.0564
Ho2 0.2445 0.9432 0.4746
Ho3 0.4433 0.4745 0.7444
Cd1 0.5000 0.0000 0.0000
Au1 0.0000 0.5000 0.5000
```


No. 3
Density functional theory data (PBE-GGA) for crystalline TiAs2SBr at its relaxed geometry.

Properties
Magnetic moment, μB per formula unit: 0.00
Uncorrected formation energy, eV/atom: 0.275
D(E_F), states/eV/cell: 3.88
Total energy, eV per atom: -4.32

```
data_TiAs2SBr
_chemical_formula_sum 'Ti1 As2 S1 Br1'
_cell_length_a 5.0076
_cell_length_b 5.0076
_cell_length_c 4.7679
_cell_angle_alpha 90.00
_cell_angle_beta 90.00
_cell_angle_gamma 90.00
_symmetry_space_group_name_H-M 'P 4/m m m'
_symmetry_Int_Tables_number 123
_symmetry_space_group_name_Hall '-P 4 2'
loop_
_atom_site_label
_atom_site_fract_x
_atom_site_fract_y
_atom_site_fract_z
Ti1 0.0000 0.0000 0.0000
As1 0.0000 0.5000 0.0000
S1 0.5000 0.5000 0.5000
Br1 0.0000 0.0000 0.5000
```


No. 4
Density functional theory data (PBE-GGA) for crystalline BaSn3I at its relaxed geometry.

Properties
Magnetic moment, μB per formula unit: 0.00
Uncorrected formation energy, eV/atom: 0.247
D(E_F), states/eV/cell: 5.58
Total energy, eV per atom: -2.85

```
data_BaSn3I
_chemical_formula_sum 'Ba1 Sn3 I1'
_cell_length_a 5.9319
_cell_length_b 5.9319
_cell_length_c 5.9319
_cell_angle_alpha 90.00
_cell_angle_beta 90.00
_cell_angle_gamma 90.00
_symmetry_space_group_name_H-M 'P m -3 m'
_symmetry_Int_Tables_number 221
_symmetry_space_group_name_Hall '-P 4 2 3'
loop_
_atom_site_label
_atom_site_fract_x
_atom_site_fract_y
_atom_site_fract_z
Ba1 0.0000 0.0000 0.0000
Sn1 0.0000 0.5000 0.5000
I1 0.5000 0.5000 0.5000
```


No. 5
Density functional theory data (PBE-GGA) for crystalline La9InN3 at its relaxed geometry.

Properties
Magnetic moment, μB per formula unit: 0.00
Uncorrected formation energy, eV/atom: -0.455
D(E_F), states/eV/cell: 16.81
Total energy, eV per atom: -6.00

```
data_La9InN3
_chemical_formula_sum 'La9 In1 N3'
_cell_length_a 9.2233
_cell_length_b 9.2233
_cell_length_c 5.1164
_cell_angle_alpha 90.00
_cell_angle_beta 90.00
_cell_angle_gamma 120.00
_symmetry_space_group_name_H-M 'P 6/m m m'
_symmetry_Int_Tables_number 191
_symmetry_space_group_name_Hall '-P 6 2'
loop_
_atom_site_label
_atom_site_fract_x
_atom_site_fract_y
_atom_site_fract_z
La1 0.0000 0.5000 0.0000
La2 0.1929 0.3857 0.5000
In1 0.0000 0.0000 0.0000
N1 0.0000 0.5000 0.5000
```


No. 6
Density functional theory data (PBE-GGA) for crystalline CrCdAg2 at its relaxed geometry.

Properties
Magnetic moment, μB per formula unit: 4.09
Energy of formation, kJ/mol of atoms: 26
D(E_F), states/eV/cell: 10.54
Total energy, eV per atom: -3.79

```
data_CrCdAg2
_chemical_formula_sum 'Cr4 Cd4 Ag8'
_cell_length_a 6.6387
_cell_length_b 6.6387
_cell_length_c 6.6387
_cell_angle_alpha 90.00
_cell_angle_beta 90.00
_cell_angle_gamma 90.00
_symmetry_space_group_name_H-M 'F -4 3 m'
_symmetry_Int_Tables_number 216
_symmetry_space_group_name_Hall 'F -4 2 3'
loop_
_atom_site_label
_atom_site_fract_x
_atom_site_fract_y
_atom_site_fract_z
Cr1 0.0000 0.0000 0.0000
Cd1 0.2500 0.2500 0.2500
Ag1 0.0000 0.0000 0.5000
Ag2 0.2500 0.2500 0.7500
```


No. 7
Density functional theory data (PBE-GGA) for crystalline CsTiSe2Br at its relaxed geometry.

Properties
Magnetic moment, μB per formula unit: 0.00
Uncorrected formation energy, eV/atom: -1.110
D(E_F), states/eV/cell: 2.10
Total energy, eV per atom: -4.59

```
data_CsTiSe2Br
_chemical_formula_sum 'Cs1 Ti1 Se2 Br1'
_cell_length_a 5.0419
_cell_length_b 5.0419
_cell_length_c 5.5846
_cell_angle_alpha 90.00
_cell_angle_beta 90.00
_cell_angle_gamma 90.00
_symmetry_space_group_name_H-M 'P 4/m m m'
_symmetry_Int_Tables_number 123
_symmetry_space_group_name_Hall '-P 4 2'
loop_
_atom_site_label
_atom_site_fract_x
_atom_site_fract_y
_atom_site_fract_z
Cs1 0.0000 0.0000 0.0000
Ti1 0.5000 0.5000 0.5000
Se1 0.0000 0.5000 0.5000
Br1 0.5000 0.5000 0.0000
```


No. 8
Density functional theory data (PBE-GGA) for crystalline RbTaGeTe at its relaxed geometry.

Properties
Magnetic moment, μB per formula unit: 0.00
Uncorrected formation energy, eV/atom: -0.136
D(E_F), states/eV/cell: 0.84
Total energy, eV per atom: -5.28

```
data_RbTaGeTe
_chemical_formula_sum 'Rb3 Ta3 Ge3 Te3'
_cell_length_a 3.9517
_cell_length_b 3.9517
_cell_length_c 25.4538
_cell_angle_alpha 90.00
_cell_angle_beta 90.00
_cell_angle_gamma 120.00
_symmetry_space_group_name_H-M 'R 3 m'
_symmetry_Int_Tables_number 160
_symmetry_space_group_name_Hall 'R 3 -2"'
loop_
_atom_site_label
_atom_site_fract_x
_atom_site_fract_y
_atom_site_fract_z
Rb1 0.0000 0.0000 0.0000
Ta1 0.0000 0.0000 0.8168
Ge1 0.0000 0.0000 0.4341
Te1 0.0000 0.0000 0.2206
```


No. 9
Density functional theory data (PBE-GGA) for crystalline PrNd2Y at its relaxed geometry.

Properties
Magnetic moment, μB per formula unit: 0.00
Energy of formation, kJ/mol of atoms: 10
D(E_F), states/eV/cell: 8.88
Total energy, eV per atom: -5.09

```
data_PrNd2Y
_chemical_formula_sum 'Pr1 Nd2 Y1'
_cell_length_a 4.3040
_cell_length_b 4.3040
_cell_length_c 7.5210
_cell_angle_alpha 90.00
_cell_angle_beta 90.00
_cell_angle_gamma 90.00
_symmetry_space_group_name_H-M 'P 4/m m m'
_symmetry_Int_Tables_number 123
_symmetry_space_group_name_Hall '-P 4 2'
loop_
_atom_site_label
_atom_site_fract_x
_atom_site_fract_y
_atom_site_fract_z
Pr1 0.0000 0.0000 0.0000
Nd1 0.5000 0.5000 0.2560
Y1 0.0000 0.0000 0.5000
```


No. 10
Density functional theory data (PBE-GGA) for crystalline KAgAu3 at its relaxed geometry.

Properties
Magnetic moment, μB per formula unit: 0.00
Energy of formation, kJ/mol of atoms: 116
D(E_F), states/eV/cell: 5.21
Total energy, eV per atom: -1.55

```
data_KAgAu3
_chemical_formula_sum 'K1 Ag1 Au3'
_cell_length_a 5.6115
_cell_length_b 5.6115
_cell_length_c 5.6115
_cell_angle_alpha 90.00
_cell_angle_beta 90.00
_cell_angle_gamma 90.00
_symmetry_space_group_name_H-M 'P m -3 m'
_symmetry_Int_Tables_number 221
_symmetry_space_group_name_Hall '-P 4 2 3'
loop_
_atom_site_label
_atom_site_fract_x
_atom_site_fract_y
_atom_site_fract_z
K1 0.0000 0.0000 0.0000
Ag1 0.5000 0.5000 0.5000
Au1 0.0000 0.0000 0.5000
```


No. 11
Density functional theory data (PBE-GGA) for crystalline Sn3Te4Pb at its relaxed geometry.

Properties
Magnetic moment, μB per formula unit: 0.00
Uncorrected formation energy, eV/atom: -0.314
D(E_F), states/eV/cell: 0.22
Total energy, eV per atom: -3.85

```
data_Sn3Te4Pb
_chemical_formula_sum 'Sn6 Te8 Pb2'
_cell_length_a 9.1151
_cell_length_b 12.8828
_cell_length_c 4.5515
_cell_angle_alpha 90.00
_cell_angle_beta 90.00
_cell_angle_gamma 90.00
_symmetry_space_group_name_H-M 'C m m m'
_symmetry_Int_Tables_number 65
_symmetry_space_group_name_Hall '-C 2 2'
loop_
_atom_site_label
_atom_site_fract_x
_atom_site_fract_y
_atom_site_fract_z
Sn1 0.0000 0.0000 0.0000
Sn2 0.2500 0.2500 0.5000
Te1 0.0000 0.2474 0.0000
Te2 0.2447 0.0000 0.5000
Pb1 0.0000 0.5000 0.0000
```


No. 12
Density functional theory data (PBE-GGA) for crystalline TiNb2HRh at its relaxed geometry.

Properties
Magnetic moment, μB per formula unit: 0.00
D(E_F), states/eV/cell: 4.43
Total energy, eV per atom: -7.93

```
data_TiNb2HRh
_chemical_formula_sum 'Ti1 Nb2 H1 Rh1'
_cell_length_a 3.9053
_cell_length_b 3.9053
_cell_length_c 4.6081
_cell_angle_alpha 90.00
_cell_angle_beta 90.00
_cell_angle_gamma 90.00
_symmetry_space_group_name_H-M 'P 4/m m m'
_symmetry_Int_Tables_number 123
_symmetry_space_group_name_Hall '-P 4 2'
loop_
_atom_site_label
_atom_site_fract_x
_atom_site_fract_y
_atom_site_fract_z
Ti1 0.0000 0.0000 0.0000
Nb1 0.0000 0.5000 0.5000
H1 0.5000 0.5000 0.5000
Rh1 0.5000 0.5000 0.0000
```